Run 1
An optimized crystal structure of Sn2HPd5. Source: the Alexandria database, functional PBE.

The structure in POSCAR format:
```
Sn2HPd5
1.0
5.752 0.000 0.000
0.000 7.111 0.000
0.000 0.000 12.047
Pd Sn H
20 8 4
direct
0.496 0.152 0.620
0.000 0.500 0.500
0.496 0.652 0.880
0.250 0.527 0.294
0.996 0.848 0.380
0.000 0.000 0.000
0.750 0.473 0.706
0.500 0.500 0.500
0.996 0.348 0.120
0.750 0.191 0.408
0.750 0.973 0.794
0.750 0.691 0.092
0.500 0.000 0.000
0.504 0.848 0.380
0.504 0.348 0.120
0.250 0.809 0.592
0.250 0.309 0.908
0.004 0.152 0.620
0.250 0.027 0.206
0.004 0.652 0.880
0.750 0.818 0.585
0.250 0.475 0.705
0.750 0.318 0.915
0.250 0.975 0.795
0.250 0.682 0.085
0.250 0.182 0.415
0.750 0.025 0.205
0.750 0.525 0.295
0.750 0.816 0.919
0.250 0.184 0.081
0.250 0.684 0.419
0.750 0.316 0.581
```

Run 2
An optimized crystal structure of Sn2HPd5. Source: the Alexandria database, functional PBE.

The structure in POSCAR format:
```
Sn2HPd5
1.0
3.600 0.000 0.000
-1.800 7.562 0.000
0.000 0.000 10.695
Sn Pd H
4 10 2
direct
0.869 0.739 0.096
0.869 0.739 0.404
0.131 0.261 0.596
0.131 0.261 0.904
0.959 0.919 0.882
0.041 0.081 0.118
0.645 0.290 0.250
0.759 0.518 0.890
0.041 0.081 0.382
0.355 0.710 0.750
0.759 0.518 0.610
0.241 0.482 0.390
0.241 0.482 0.110
0.959 0.919 0.618
0.129 0.257 0.250
0.871 0.743 0.750
```

Sorted by energy, starting with the most stable: run 1, run 2.

Run 1
An optimized crystal structure of SnHPd4. Source: the Alexandria database, functional PBE.

The structure in POSCAR format:
```
SnHPd4
1.0
-1.403 2.763 -3.856
-4.881 -3.600 0.565
-0.572 4.072 4.494
Pd H Sn
8 2 2
direct
0.862 0.577 0.813
0.952 0.031 0.768
0.638 0.187 0.423
0.362 0.813 0.577
0.138 0.423 0.187
0.048 0.969 0.232
0.452 0.768 0.031
0.548 0.232 0.969
0.750 0.991 0.009
0.250 0.009 0.991
0.750 0.632 0.368
0.250 0.368 0.632
```

Run 2
An optimized crystal structure of SnHPd4. Source: the Alexandria database, functional PBE.

The structure in POSCAR format:
```
SnHPd4
1.0
-1.982 1.772 -2.967
-3.187 -2.346 0.728
-3.626 2.712 4.041
Sn Pd H
1 4 1
direct
0.501 0.530 0.023
0.001 0.685 0.709
0.501 0.868 0.345
0.001 0.367 0.346
0.501 0.184 0.711
0.001 0.850 0.355
```

Sorted by energy, starting with the most stable: run 1, run 2.

Run 1
An optimized crystal structure of TaSn2HPd. Source: the Alexandria database, functional PBE.

The structure in POSCAR format:
```
TaSn2HPd
1.0
5.446 0.000 0.000
0.000 3.443 0.000
0.000 0.000 5.446
Pd Sn H Ta
1 2 1 1
direct
0.500 0.500 0.500
0.000 0.000 0.500
0.500 0.000 0.000
0.000 0.500 0.000
0.000 0.000 0.000
```

Run 2
An optimized crystal structure of TaSn2HPd. Source: the Alexandria database, functional PBE.

The structure in POSCAR format:
```
TaSn2HPd
1.0
-4.391 -2.361 -0.993
1.985 -4.340 1.544
-1.586 0.959 4.733
Sn Ta Pd H
2 1 1 1
direct
0.500 0.000 0.000
0.000 0.000 0.500
0.000 0.500 0.000
0.000 0.000 0.000
0.500 0.500 0.500
```

Sorted by energy, starting with the most stable: run 1, run 2.